InSbIr4 | GGA-PBEsol | relaxed

Values from the calculation:
* DFT total energy: -44.729 eV for the cell shown
* formation energy without anion corrections: 0.35 eV per atom
* M_tot: 0.00 μB/f.u.
* crystal system: cubic

Geometry as POSCAR:
```
InSbIr4
1.0
5.264 0.000 0.000
2.632 4.559 0.000
2.632 1.520 4.298
Ir Sb In
4 1 1
direct
0.375 0.875 0.375
0.375 0.375 0.875
0.375 0.375 0.375
0.875 0.375 0.375
0.750 0.750 0.750
0.000 0.000 0.000
```